The following is a DFT calculation (PBE) of Na3NdPu2S6 after structural relaxation.

Results
**ΔE_f (raw)**: -156.4 kJ/mol of atoms

Unit cell a=7.0538 b=7.0538 c=7.0552 alpha=99.60 beta=99.60 gamma=120.00
Closest atoms and distances in Å follow each position.
Fractional positions:
Na 0.0000 0.0000 0.0000  6 S 2.92-2.99
Na 0.3334 0.6666 0.0000  6 S 2.92-2.99
Na 0.6666 0.3334 0.0000  6 S 2.92-2.99
Nd 0.5000 0.5000 0.5000  6 S 2.84-2.85
Pu 0.1667 0.8333 0.5000  6 S 2.78
Pu 0.8333 0.1667 0.5000  6 S 2.78
S 0.0829 0.4237 0.2716  2 Pu 2.78, 1 Nd 2.84, 3 Na 2.92-2.99
S 0.2359 0.2359 0.7299  2 Pu 2.78, 1 Nd 2.85, 3 Na 2.92-2.98
S 0.4237 0.0829 0.2716  2 Pu 2.78, 1 Nd 2.84, 3 Na 2.92-2.99
S 0.5763 0.9171 0.7284  2 Pu 2.78, 1 Nd 2.84, 3 Na 2.92-2.99
S 0.7641 0.7641 0.2701  2 Pu 2.78, 1 Nd 2.85, 3 Na 2.92-2.98
S 0.9171 0.5763 0.7284  2 Pu 2.78, 1 Nd 2.84, 3 Na 2.92-2.99

---

The following is a DFT calculation (PBE) of ScAs2PbO8 after structural relaxation.

Results
**ΔE_f (raw)**: -152.5 kJ/mol of atoms

Unit cell a=5.5760 b=5.5760 c=7.1547 alpha=90.00 beta=90.00 gamma=120.00
Closest atoms and distances in Å follow each position.
Fractional positions:
Sc 0.0000 0.0000 0.0000  6 O 2.09
As 0.3333 0.6667 0.2625  4 O 1.71-1.72
As 0.6667 0.3333 0.7375  4 O 1.71-1.72
Pb 0.0000 0.0000 0.5000  6 O 2.73
O 0.1608 0.3293 0.1895  1 As 1.71
O 0.1686 0.8392 0.1895  1 As 1.71
O 0.3293 0.1686 0.8105  1 As 1.71
O 0.3333 0.6667 0.5028  1 As 1.72
O 0.6667 0.3333 0.4972  1 As 1.72
O 0.6707 0.8314 0.1895  1 As 1.71
O 0.8314 0.1608 0.8105  1 As 1.71
O 0.8392 0.6707 0.8105  1 As 1.71

---

The following is a DFT calculation (PBE) of LiCeHoTc after structural relaxation.

Results
**Formation energy from the elements**: -18 meV/atom

Unit cell a=6.9751 b=6.9751 c=6.9751 alpha=90.00 beta=90.00 gamma=90.00
Closest atoms and distances in Å follow each position.
Fractional positions:
Li 0.0000 0.0000 0.0000  4 Ho 3.02, 4 Ce 3.02
Li 0.0000 0.5000 0.5000  4 Ho 3.02, 4 Ce 3.02
Li 0.5000 0.0000 0.5000  4 Ho 3.02, 4 Ce 3.02
Li 0.5000 0.5000 0.0000  4 Ho 3.02, 4 Ce 3.02
Ce 0.2500 0.2500 0.2500  4 Li 3.02, 4 Tc 3.02
Ce 0.2500 0.7500 0.7500  4 Li 3.02, 4 Tc 3.02
Ce 0.7500 0.2500 0.7500  4 Li 3.02, 4 Tc 3.02
Ce 0.7500 0.7500 0.2500  4 Li 3.02, 4 Tc 3.02
Ho 0.2500 0.2500 0.7500  4 Tc 3.02, 4 Li 3.02
Ho 0.2500 0.7500 0.2500  4 Tc 3.02, 4 Li 3.02
Ho 0.7500 0.2500 0.2500  4 Tc 3.02, 4 Li 3.02
Ho 0.7500 0.7500 0.7500  4 Tc 3.02, 4 Li 3.02
Tc 0.0000 0.0000 0.5000  4 Ce 3.02, 4 Ho 3.02
Tc 0.0000 0.5000 0.0000  4 Ce 3.02, 4 Ho 3.02
Tc 0.5000 0.0000 0.0000  4 Ce 3.02, 4 Ho 3.02
Tc 0.5000 0.5000 0.5000  4 Ce 3.02, 4 Ho 3.02

---

The following is a DFT calculation (PBE) of In2TeMo after structural relaxation.

Results
**ΔE_f (raw)**: 48.7 kJ/mol of atoms

Unit cell a=3.6832 b=5.0742 c=5.2454 alpha=90.00 beta=99.08 gamma=90.00
Closest atoms and distances in Å follow each position.
Fractional positions:
In 0.1734 0.0000 0.2704  3 In 2.90-3.12, 2 Mo 2.98, 2 Te 3.23
In 0.8266 0.0000 0.7296  3 In 2.90-3.12, 2 Mo 2.98, 2 Te 3.23
Te 0.5000 0.5000 0.0000  2 Mo 2.62
Mo 0.5000 0.5000 0.5000  2 Te 2.62

---

The following is a DFT calculation (PBE) of LiCrFe2 after structural relaxation.

Results
**Formation energy from the elements**: 358 meV/atom
**Energy above the lowest structure with this stoichiometry**: 167 meV per atom

Unit cell a=5.6533 b=5.6533 c=5.6533 alpha=90.00 beta=90.00 gamma=90.00
Closest atoms and distances in Å follow each position.
Fractional positions:
Li 0.0000 0.0000 0.0000  4 Cr 2.45, 4 Fe 2.45
Li 0.0000 0.5000 0.5000  4 Cr 2.45, 4 Fe 2.45
Li 0.5000 0.0000 0.5000  4 Cr 2.45, 4 Fe 2.45
Li 0.5000 0.5000 0.0000  4 Cr 2.45, 4 Fe 2.45
Cr 0.2500 0.2500 0.2500  4 Fe 2.45, 4 Li 2.45
Cr 0.2500 0.7500 0.7500  4 Fe 2.45, 4 Li 2.45
Cr 0.7500 0.2500 0.7500  4 Fe 2.45, 4 Li 2.45
Cr 0.7500 0.7500 0.2500  4 Fe 2.45, 4 Li 2.45
Fe 0.0000 0.0000 0.5000  4 Cr 2.45, 4 Fe 2.45
Fe 0.0000 0.5000 0.0000  4 Cr 2.45, 4 Fe 2.45
Fe 0.2500 0.2500 0.7500  4 Fe 2.45, 4 Li 2.45
Fe 0.2500 0.7500 0.2500  4 Fe 2.45, 4 Li 2.45
Fe 0.5000 0.0000 0.0000  4 Cr 2.45, 4 Fe 2.45
Fe 0.5000 0.5000 0.5000  4 Cr 2.45, 4 Fe 2.45
Fe 0.7500 0.2500 0.2500  4 Fe 2.45, 4 Li 2.45
Fe 0.7500 0.7500 0.7500  4 Fe 2.45, 4 Li 2.45

---

The following is a DFT calculation (PBE) of RbTl2VBr6 after structural relaxation.

Results
**ΔE_f (raw)**: -97.9 kJ/mol of atoms

Unit cell a=8.2069 b=8.2069 c=8.2069 alpha=58.30 beta=58.30 gamma=58.30
Closest atoms and distances in Å follow each position.
Fractional positions:
Rb 0.0000 0.0000 0.0000  6 Br 3.35-3.51
Tl 0.2027 0.2027 0.2027  6 Br 3.28-3.43
Tl 0.7147 0.7147 0.7147  6 Br 3.36-3.38
V 0.5088 0.5088 0.5088  6 Br 2.57-2.58
Br 0.1922 0.4016 0.7203  1 V 2.57
Br 0.3159 0.8309 0.6065  1 V 2.58
Br 0.4016 0.7203 0.1922  1 V 2.57
Br 0.6065 0.3159 0.8309  1 V 2.58
Br 0.7203 0.1922 0.4016  1 V 2.57
Br 0.8309 0.6065 0.3159  1 V 2.58

---

The following is a DFT calculation (PBE) of FeAgBr2 after structural relaxation.

Results
**ΔE_f (raw)**: 15.3 kJ/mol of atoms
**Energy above the lowest structure with this stoichiometry**: 185 meV per atom

Unit cell a=3.4538 b=6.8325 c=8.7486 alpha=90.00 beta=90.00 gamma=90.00
Closest atoms and distances in Å follow each position.
Fractional positions:
Fe 0.0000 0.0000 0.0000  4 Br 2.51
Fe 0.5000 0.5000 0.0000  4 Br 2.51
Ag 0.0000 0.0000 0.5000  4 Br 3.08
Ag 0.5000 0.5000 0.5000  4 Br 3.08
Br 0.0000 0.5000 0.2083  2 Fe 2.51
Br 0.0000 0.5000 0.7917  2 Fe 2.51
Br 0.5000 0.0000 0.2083  2 Fe 2.51
Br 0.5000 0.0000 0.7917  2 Fe 2.51

---

The following is a DFT calculation (PBE) of LiNdU2Se4 after structural relaxation.

Results
**ΔE_f (raw)**: -124.3 kJ/mol of atoms

Unit cell a=6.9780 b=4.0286 c=7.3263 alpha=90.00 beta=108.59 gamma=90.00
Closest atoms and distances in Å follow each position.
Fractional positions:
Li 0.0000 0.0000 0.0000  6 Se 2.84-2.85
Nd 0.5000 0.5000 0.0000  6 Se 2.93
U 0.0000 0.5000 0.5000  6 Se 2.87-2.88
U 0.5000 0.0000 0.5000  6 Se 2.96-2.97
Se 0.2384 0.0000 0.7502  1 Li 2.84, 3 U 2.87-2.97, 2 Nd 2.93
Se 0.2379 0.5000 0.2436  2 Li 2.85, 3 U 2.88-2.96, 1 Nd 2.93
Se 0.7616 0.0000 0.2498  1 Li 2.84, 3 U 2.87-2.97, 2 Nd 2.93
Se 0.7621 0.5000 0.7564  2 Li 2.85, 3 U 2.88-2.96, 1 Nd 2.93

---

| no. | ρ (kg/m³) |
| --- | --- |
| 1 | 5178 |
| 2 | 4568 |
| 3 | 8025 |
| 4 | 7774 |
| 5 | 6272 |
| 6 | 4529 |
| 7 | 5204 |
| 8 | 8022 |